No. 1
This record from Alexandria via LeMat-Bulk describes crystalline KYPdF6 at its relaxed geometry. The functional is PBE-GGA.

Cell: 5.727 5.734 5.812 Å, 112.68 93.06 93.27°
Space group P1 (No. 1)
Inequivalent atoms, fractional coordinates:
K 0.000 0.000 0.000 x1
Y 0.498 0.661 0.338 x1
Pd 0.499 0.310 0.690 x1
F 0.220 0.649 0.086 x1
F 0.330 0.302 0.373 x1
F 0.334 0.974 0.650 x1
F 0.660 0.351 0.023 x1
F 0.670 0.628 0.691 x1
F 0.767 0.921 0.340 x1

Results
**Magnetic moment**: 0.1 μB/cell

---

No. 2
This record from Alexandria via LeMat-Bulk describes crystalline K2YPdF at its relaxed geometry. The functional is PBE-GGA.

Cell: 6.301 6.301 5.268 Å, 90.00 90.00 90.00°
Space group P4/mmm (No. 123)
Inequivalent atoms, fractional coordinates:
K 0.000 0.500 0.000 x2
Y 0.000 0.000 0.500 x1
Pd 0.000 0.000 0.000 x1
F 0.500 0.500 0.500 x1

Results
**Magnetic moment**: 1.1 μB/cell
**D(E_F)**: 5.1 states/eV/cell

---

No. 3
This record from Alexandria via LeMat-Bulk describes crystalline K3Zn2PdF9 at its relaxed geometry. The functional is PBE-GGA.

Cell: 5.9339 5.9339 7.2962 Å, 90.00 90.00 120.00°
Space group P-3m1 (No. 164)
Inequivalent atoms, fractional coordinates:
K 0.0000 0.0000 0.0000 x1
K 0.3333 0.6667 0.6633 x2
Zn 0.3333 0.6667 0.1573 x2
Pd 0.0000 0.0000 0.5000 x1
F 0.0000 0.5000 0.0000 x3
F 0.1723 0.3446 0.3231 x6

Results
**Magnetic moment**: 2.0 μB/cell

---

No. 4
This record from Alexandria via LeMat-Bulk describes crystalline KZn2PdF8 at its relaxed geometry. The functional is PBE-GGA.

Cell: 5.8962 5.8962 7.3444 Å, 90.00 90.00 120.00°
Space group P-3m1 (No. 164)
Inequivalent atoms, fractional coordinates:
K 0.0000 0.0000 0.0000 x1
Zn 0.3333 0.6667 0.2275 x2
Pd 0.0000 0.0000 0.5000 x1
F 0.1564 0.3127 0.3234 x6
F 0.3333 0.6667 0.9760 x2

Results
**Magnetic moment**: 1.0 μB/cell
**D(E_F)**: 5.0 states/eV/cell

---

No. 5
This record from Alexandria via LeMat-Bulk describes crystalline K2ZnPd3F12 at its relaxed geometry. The functional is PBE-GGA.

Cell: 7.9106 7.9106 17.8889 Å, 90.00 90.00 120.00°
Space group R-3m (No. 166, hexagonal axes)
Inequivalent atoms, fractional coordinates:
K 0.0000 0.0000 0.1746 x6
Zn 0.0000 0.0000 0.5000 x3
Pd 0.0000 0.5000 0.0000 x9
F 0.0721 0.5360 0.1096 x18
F 0.0911 0.5456 0.3606 x18

Results
**Magnetic moment**: 0.0 μB/cell
**D(E_F)**: 11.6 states/eV/cell

---

No. 6
This record from Alexandria via LeMat-Bulk describes crystalline K2Zn3PdF12 at its relaxed geometry. The functional is PBE-GGA.

Cell: 7.2879 7.2879 19.1348 Å, 90.00 90.00 120.00°
Space group R-3m (No. 166, hexagonal axes)
Inequivalent atoms, fractional coordinates:
K 0.0000 0.0000 0.0977 x6
Zn 0.0000 0.5000 0.0000 x9
Pd 0.0000 0.0000 0.5000 x3
F 0.0616 0.5308 0.3592 x18
F 0.0742 0.5371 0.1106 x18

Results
**Magnetic moment**: 0.0 μB/cell

---

No. 7
This record from Alexandria via LeMat-Bulk describes crystalline K4Zn3PdF12 at its relaxed geometry. The functional is PBE-GGA.

Cell: 8.371 8.371 8.371 Å, 90.00 90.00 90.00°
Space group Im-3m (No. 229)
Inequivalent atoms, fractional coordinates:
K 0.250 0.250 0.250 x8
Zn 0.000 0.000 0.500 x6
Pd 0.000 0.000 0.000 x2
F 0.000 0.000 0.260 x12
F 0.000 0.250 0.500 x12

Results
**Magnetic moment**: 4.0 μB/cell

---

No. 8
This record from Alexandria via LeMat-Bulk describes crystalline KZnPd2F8 at its relaxed geometry. The functional is PBE-GGA.

Cell: 4.938 4.990 7.648 Å, 86.03 88.45 84.34°
Space group P-1 (No. 2)
Inequivalent atoms, fractional coordinates:
K 0.000 0.000 0.000 x1
Zn 0.000 0.000 0.500 x1
Pd 0.478 0.484 0.289 x2
F 0.162 0.766 0.304 x2
F 0.192 0.783 0.709 x2
F 0.311 0.255 0.481 x2
F 0.379 0.305 0.911 x2

Results
**Magnetic moment**: 1.0 μB/cell
**D(E_F)**: 3.4 states/eV/cell

---

The records above give, respectively, formation energy from raw total energies values of -2.784, -0.331, -2.310, -1.942, -1.789, -2.164, -2.372, -1.747 eV/atom.